Entry from Alexandria via LeMat-Bulk: crystalline CsCrInF6 at its relaxed geometry (PBE+U).

As for the uncorrected energy: -5.13 eV/atom.

Cell and atoms, written as POSCAR:
```
CsCrInF6
1.0
-0.0408 5.1898 5.4544
-6.5173 -3.4195 3.2049
6.5793 -4.1978 -1.1530
Cs Cr In F
2 2 2 12
Cartesian
0.9866 -0.9062 6.0660 Cs
-0.9654 -1.5213 1.4403 Cs
3.2692 0.4960 2.1507 Cr
3.2896 -2.0989 -0.5765 Cr
-3.2791 0.8852 4.3296 In
-0.0204 2.5949 2.7272 In
1.2209 -3.7159 3.5448 F
3.6555 1.3955 3.8959 F
1.1034 3.0280 4.4351 F
-2.8126 -1.1442 4.1525 F
1.1200 0.9191 2.2187 F
-2.8291 0.9647 6.3689 F
-1.1998 1.2884 3.9615 F
-3.6344 -3.8230 3.6104 F
-1.0822 -5.4555 3.0712 F
2.8337 -1.2833 3.3538 F
-1.0988 -3.3466 5.2876 F
2.8503 -3.3922 1.1374 F
```